Record 1
MgAl2Se PBE relaxed; raw formation energy = 0.03 eV per atom; SG = P4/mmm, No. 123; uncorrected energy = -3.108 eV/atom; relative energy among the computed polymorphs = 0.92 eV per formula unit
1.0
-4.194 0.450 1.567
0.836 -3.120 3.133
1.236 2.836 2.494
Al Se Mg
2 1 1
Direct
0.000 0.000 0.000 Al
0.500 0.500 0.000 Al
0.000 0.500 0.500 Se
0.500 0.000 0.500 Mg


Record 2
MgAlSe2 PBE relaxed; raw formation energy = -0.68 eV per atom; SG = Amm2, No. 38; uncorrected energy = -3.760 eV/atom; relative energy among the computed polymorphs = 0.55 eV per formula unit
1.0
-6.580 -0.908 -1.742
-4.725 -1.600 -4.719
0.234 -3.575 0.977
Se Mg Al
2 1 1
Direct
0.974 0.974 0.875 Se
0.213 0.213 0.375 Se
0.775 0.775 0.874 Mg
0.538 0.538 0.376 Al


Record 3
MgAlSe2 PBE relaxed; raw formation energy = -0.50 eV per atom; SG = Cmmm, No. 65; uncorrected energy = -3.581 eV/atom; relative energy among the computed polymorphs = 1.27 eV per formula unit
1.0
4.111 -0.042 0.000
-2.433 3.314 0.000
0.000 0.000 7.378
Mg Se Al
1 2 1
Direct
0.500 0.500 0.750 Mg
0.000 0.000 0.493 Se
0.000 0.000 0.007 Se
0.500 0.500 0.250 Al


Record 4
MgAl2Se PBE relaxed; raw formation energy = -0.10 eV per atom; SG = R-3m, No. 166; uncorrected energy = -3.241 eV/atom; relative energy among the computed polymorphs = 0.38 eV per formula unit
1.0
8.018 -0.025 -0.015
7.248 3.429 -0.015
7.248 1.616 3.024
Al Mg Se
2 1 1
Direct
0.009 0.009 0.009 Al
0.491 0.491 0.491 Al
0.250 0.250 0.250 Mg
0.750 0.750 0.750 Se


Record 5
MgAlSe3 PBE relaxed; raw formation energy = -0.21 eV per atom; SG = Pm-3m, No. 221; uncorrected energy = -3.371 eV/atom; relative energy among the computed polymorphs = 0.00 eV per formula unit
1.0
4.915 0.000 0.000
0.000 4.915 0.000
0.000 0.000 4.915
Se Al Mg
3 1 1
Direct
0.000 0.500 0.000 Se
0.000 0.000 0.500 Se
0.500 0.000 0.000 Se
0.000 0.000 0.000 Al
0.500 0.500 0.500 Mg


Record 6
MgAlSe2 PBE relaxed; raw formation energy = -0.37 eV per atom; SG = P4/mmm, No. 123; uncorrected energy = -3.448 eV/atom; relative energy among the computed polymorphs = 1.80 eV per formula unit
1.0
-2.302 -1.881 -1.635
1.233 -2.794 1.478
-4.386 0.828 5.222
Se Al Mg
2 1 1
Direct
0.000 0.000 0.002 Se
0.000 0.000 0.498 Se
0.500 0.500 0.250 Al
0.500 0.500 0.750 Mg